VASP calculation (PBE+U) on a relaxed structure of KCr4Co3O12.

The volume is 10.2 Å³ per atom. Its electronic total energy is -267.82 eV/cell.

The structure belongs to space group Im-3 (No. 204); the cell edges are 7.412, 7.412 and 7.412 Å and the angles 90.00°, 90.00° and 90.00°. The distinct sites, in fractional coordinates, are K at (0.000, 0.000, 0.000), Cr at (0.250, 0.250, 0.250), Co at (0.000, 0.000, 0.500) and O at (0.000, 0.178, 0.319).